## PmHoHgPd (PBE-GGA)

Data for a relaxed structure of PmHoHgPd.

Values from the calculation:
ΔH_f (0 K): -0.66 eV/atom
Calculated density: 10.520 g/cm³
Energy above the lowest structure with this stoichiometry: 0 meV per atom
SG: P4mm (99)
E_tot: -4.37 eV/atom

a = 3.5773 Å, b = 3.5773 Å, c = 7.6094 Å
α = 90.00°, β = 90.00°, γ = 90.00°
Sites, in units of the cell vectors:
Pm: 0.5000 0.5000 0.1264
Ho: 0.5000 0.5000 0.5822
Hg: 0.0000 0.0000 0.8413
Pd: 0.0000 0.0000 0.3781

## Zr2GaCoBr (PBE-GGA)

Data for a relaxed structure of Zr2GaCoBr.

Values from the calculation:
Calculated density: 5.738 g/cm³
ΔE_f (raw): 0.55 eV per atom
SG: P4/mmm (123)
E_tot: -5.24 eV/atom

a = 5.1562 Å, b = 4.2562 Å, c = 5.1562 Å
α = 90.00°, β = 90.00°, γ = 90.00°
Sites, in units of the cell vectors:
Ga: 0.0000 0.0000 0.0000
Co: 0.0000 0.5000 0.0000
Br: 0.5000 0.5000 0.5000
Zr: 0.0000 0.0000 0.5000
Zr: 0.5000 0.0000 0.0000

## Cr3CuBi (PBE-GGA)

Data for a relaxed structure of Cr3CuBi.

Values from the calculation:
ΔH_f (0 K): 1.03 eV/atom
Calculated density: 6.734 g/cm³
Energy above the lowest structure with this stoichiometry: 0 meV per atom
SG: Pm-3m (221)
E_tot: -6.34 eV/atom

a = 4.7277 Å, b = 4.7277 Å, c = 4.7277 Å
α = 90.00°, β = 90.00°, γ = 90.00°
Site moments in Bohr magnetons follow the coordinates.
Sites, in units of the cell vectors:
Cr: 0.0000 0.5000 0.0000  3.62
Cr: 0.0000 0.0000 0.5000  3.78
Cr: 0.5000 0.0000 0.0000  3.58
Bi: 0.5000 0.5000 0.5000  -0.27
Cu: 0.0000 0.0000 0.0000  0.24

- What is the E_tot in the first record?
  -4.37 eV/atom

Copy entry 2 word for word.
## Zr2GaCoBr (PBE-GGA)

Data for a relaxed structure of Zr2GaCoBr.

Values from the calculation:
Calculated density: 5.738 g/cm³
ΔE_f (raw): 0.55 eV per atom
SG: P4/mmm (123)
E_tot: -5.24 eV/atom

a = 5.1562 Å, b = 4.2562 Å, c = 5.1562 Å
α = 90.00°, β = 90.00°, γ = 90.00°
Sites, in units of the cell vectors:
Ga: 0.0000 0.0000 0.0000
Co: 0.0000 0.5000 0.0000
Br: 0.5000 0.5000 0.5000
Zr: 0.0000 0.0000 0.5000
Zr: 0.5000 0.0000 0.0000

What did the third record say?
## Cr3CuBi (PBE-GGA)

Data for a relaxed structure of Cr3CuBi.

Values from the calculation:
ΔH_f (0 K): 1.03 eV/atom
Calculated density: 6.734 g/cm³
Energy above the lowest structure with this stoichiometry: 0 meV per atom
SG: Pm-3m (221)
E_tot: -6.34 eV/atom

a = 4.7277 Å, b = 4.7277 Å, c = 4.7277 Å
α = 90.00°, β = 90.00°, γ = 90.00°
Site moments in Bohr magnetons follow the coordinates.
Sites, in units of the cell vectors:
Cr: 0.0000 0.5000 0.0000  3.62
Cr: 0.0000 0.0000 0.5000  3.78
Cr: 0.5000 0.0000 0.0000  3.58
Bi: 0.5000 0.5000 0.5000  -0.27
Cu: 0.0000 0.0000 0.0000  0.24

- Which formula does entry 3 have?
  Cr3CuBi